Record 1
Density functional theory data (GGA-PBE) for P2PdPt after structural relaxation.

Results
Density of states at the Fermi level, states/eV/cell: 5.21

Cell: 5.4568 5.4568 6.4778 Å, 65.09 65.09 90.00°
Closest atoms and distances in Å follow each position.
Fractional positions:
P 0.6310 0.1250 0.2500  2 Pt 2.31, 2 Pd 2.35
P 0.1190 0.6250 0.2500  2 Pt 2.31, 2 Pd 2.35
P 0.3750 0.3690 0.7500  2 Pt 2.31, 2 Pd 2.35
P 0.8750 0.8810 0.7500  2 Pt 2.31, 2 Pd 2.35
Pd 0.5000 0.5000 0.0000  4 P 2.35
Pd 0.2500 0.7500 0.5000  4 P 2.35
Pt 0.0000 0.0000 0.0000  4 P 2.31
Pt 0.7500 0.2500 0.5000  4 P 2.31

=====

Record 2
Density functional theory data (GGA-PBE) for P2Pd2Pt after structural relaxation.

Results
Density of states at the Fermi level, states/eV/cell: 3.97

Cell: 6.0233 6.0233 4.2954 Å, 90.00 90.00 90.00°
Closest atoms and distances in Å follow each position.
Fractional positions:
P 0.3740 0.8740 0.0000  1 P 2.15, 2 Pd 2.37, 2 Pt 2.38
P 0.8740 0.6260 0.0000  1 P 2.15, 2 Pd 2.37, 2 Pt 2.38
P 0.6260 0.1260 0.0000  1 P 2.15, 2 Pd 2.37, 2 Pt 2.38
P 0.1260 0.3740 0.0000  1 P 2.15, 2 Pd 2.37, 2 Pt 2.38
Pd 0.2553 0.7553 0.5000  2 P 2.37
Pd 0.7553 0.7447 0.5000  2 P 2.37
Pd 0.7447 0.2447 0.5000  2 P 2.37
Pd 0.2447 0.2553 0.5000  2 P 2.37
Pt 0.0000 0.0000 0.0000  4 P 2.38
Pt 0.5000 0.5000 0.0000  4 P 2.38

=====

Record 3
Density functional theory data (GGA-PBE) for PPdPt4 after structural relaxation.

Results
Density of states at the Fermi level, states/eV/cell: 16.41

Cell: 5.7141 8.9215 7.5759 Å, 85.68 90.00 90.00°
Closest atoms and distances in Å follow each position.
Fractional positions:
P 0.2852 0.7430 0.6398  6 Pt 2.28-2.49
P 0.7852 0.7570 0.3602  6 Pt 2.28-2.49
P 0.7148 0.2570 0.3602  6 Pt 2.28-2.49
P 0.2148 0.2430 0.6398  6 Pt 2.28-2.49
Pd 0.7541 0.5084 0.9576  8 Pt 2.68-2.91, 2 Pd 2.88-2.98
Pd 0.2541 0.9916 0.0424  8 Pt 2.68-2.91, 2 Pd 2.88-2.98
Pd 0.2459 0.4916 0.0424  8 Pt 2.68-2.91, 2 Pd 2.88-2.98
Pd 0.7459 0.0084 0.9576  8 Pt 2.68-2.91, 2 Pd 2.88-2.98
Pt 0.5751 0.2971 0.7484  1 P 2.28
Pt 0.0751 0.2029 0.2516  1 P 2.28
Pt 0.4249 0.7029 0.2516  1 P 2.28
Pt 0.9249 0.7971 0.7484  1 P 2.28
Pt 0.0207 0.2512 0.9027  1 P 2.29
Pt 0.5207 0.2488 0.0973  1 P 2.29
Pt 0.9793 0.7488 0.0973  1 P 2.29
Pt 0.4793 0.7512 0.9027  1 P 2.29
Pt 0.1000 0.5075 0.6776  2 P 2.35-2.49
Pt 0.6000 0.9925 0.3224  2 P 2.35-2.49
Pt 0.9000 0.4925 0.3224  2 P 2.35-2.49
Pt 0.4000 0.0075 0.6776  2 P 2.35-2.49
Pt 0.6255 0.6040 0.5949  2 P 2.34
Pt 0.1255 0.8960 0.4051  2 P 2.34
Pt 0.3745 0.3960 0.4051  2 P 2.34
Pt 0.8745 0.1040 0.5949  2 P 2.34

=====

no.,uncorrected energy (Ha/atom)
1,-0.21104
2,-0.21450
3,-0.21902